Version P
This record from Alexandria describes a relaxed structure of HfTi4Al2. The functional is PBE.

Cell lengths 9.734, 5.186, 5.587 Å; angles 117.65, 90.00, 90.00 degrees
Positions (direct):
Ti 0.750 0.000 0.500
Ti 0.250 0.500 0.500
Al 0.000 0.697 0.395
Ti 0.307 0.000 0.000
Hf 0.000 0.000 0.000
Ti 0.250 0.000 0.500
Ti 0.750 0.500 0.500
Ti 0.693 0.000 0.000
Al 0.500 0.197 0.395
Ti 0.193 0.500 0.000
Al 0.500 0.803 0.605
Hf 0.500 0.500 0.000
Ti 0.807 0.500 0.000
Al 0.000 0.303 0.605

Results
magnetic moment = 0.00 Bohr magnetons per cell
space-group type = No. 69
N(E_F) = 16.39 states/eV per cell



Version Q
This record from Alexandria describes a relaxed structure of HfTi4Al2. The functional is PBE.

Cell lengths 7.437, 5.236, 7.310 Å; angles 90.00, 119.42, 90.00 degrees
Positions (direct):
Ti 0.620 0.001 0.238
Ti 0.380 0.999 0.762
Hf 0.767 0.250 0.787
Ti 0.977 0.250 0.569
Al 0.615 0.750 0.576
Al 0.781 0.750 0.998
Ti 0.023 0.750 0.431
Al 0.219 0.250 0.002
Ti 0.036 0.750 0.775
Ti 0.380 0.501 0.762
Ti 0.620 0.499 0.238
Ti 0.964 0.250 0.225
Al 0.385 0.250 0.424
Hf 0.233 0.750 0.213

Results
magnetic moment = 0.00 Bohr magnetons per cell
space-group type = No. 11
N(E_F) = 13.60 states/eV per cell



Which one sits at the bottom of the stability order? version Q does.



Version P
This record from Alexandria describes a relaxed structure of HfTi3Al. The functional is PBE.

Cell lengths 3.778, 3.778, 7.096 Å; angles 105.44, 105.44, 90.00 degrees
Positions (direct):
Hf 0.006 0.006 0.013
Ti 0.274 0.774 0.549
Ti 0.774 0.274 0.549
Al 0.616 0.616 0.232
Ti 0.419 0.419 0.839

Results
magnetic moment = 0.00 Bohr magnetons per cell
space-group type = No. 107
N(E_F) = 5.80 states/eV per cell



Version Q
This record from Alexandria describes a relaxed structure of HfTi3Al. The functional is PBE.

Cell lengths 4.808, 4.808, 4.808 Å; angles 90.00, 90.00, 90.00 degrees
Positions (direct):
Ti 0.500 0.000 0.000
Ti 0.000 0.000 0.500
Ti 0.000 0.500 0.000
Al 0.500 0.500 0.500
Hf 0.000 0.000 0.000

Results
magnetic moment = 0.00 Bohr magnetons per cell
space-group type = No. 221
N(E_F) = 9.22 states/eV per cell



Version R
This record from Alexandria describes a relaxed structure of HfTi3Al. The functional is PBE.

Cell lengths 2.819, 5.361, 12.014 Å; angles 90.00, 90.00, 90.00 degrees
Positions (direct):
Ti 0.500 0.492 0.611
Ti 0.500 0.500 0.000
Hf 0.500 0.750 0.802
Al 0.000 0.250 0.804
Al 0.000 0.750 0.196
Ti 0.500 0.008 0.611
Ti 0.500 0.992 0.389
Ti 0.500 0.000 0.000
Ti 0.500 0.508 0.389
Hf 0.500 0.250 0.198

Results
magnetic moment = 0.00 Bohr magnetons per cell
space-group type = No. 51
N(E_F) = 12.58 states/eV per cell



Version S
This record from Alexandria describes a relaxed structure of HfTi3Al. The functional is PBE.

Cell lengths 4.718, 4.718, 4.718 Å; angles 90.00, 90.00, 90.00 degrees
Positions (direct):
Al 0.000 0.000 0.000
Ti 0.500 0.000 0.000
Hf 0.500 0.500 0.500
Ti 0.000 0.500 0.000
Ti 0.000 0.000 0.500

Results
magnetic moment = 2.51 Bohr magnetons per cell
space-group type = No. 221
N(E_F) = 8.11 states/eV per cell



Which one sits at the bottom of the stability order? version Q does.



Version P
This record from Alexandria describes a relaxed structure of HfTiAl. The functional is PBE.

Cell lengths 4.007, 4.007, 7.316 Å; angles 90.00, 90.00, 90.00 degrees
Positions (direct):
Al 0.836 0.336 0.795
Ti 0.836 0.336 0.170
Al 0.336 0.836 0.205
Hf 0.836 0.836 0.500
Hf 0.336 0.336 0.500
Ti 0.336 0.836 0.830

Results
magnetic moment = 0.00 Bohr magnetons per cell
space-group type = No. 129
N(E_F) = 5.31 states/eV per cell



Version Q
This record from Alexandria describes a relaxed structure of HfTiAl. The functional is PBE.

Cell lengths 4.659, 4.659, 5.815 Å; angles 90.00, 90.00, 120.00 degrees
Positions (direct):
Al 0.667 0.833 0.250
Hf 0.000 0.500 0.000
Ti 0.333 0.167 0.250
Hf 0.000 0.500 0.500
Ti 0.667 0.833 0.750
Al 0.333 0.167 0.750

Results
magnetic moment = 0.00 Bohr magnetons per cell
space-group type = No. 194
N(E_F) = 5.02 states/eV per cell



Version R
This record from Alexandria describes a relaxed structure of HfTiAl. The functional is PBE.

Cell lengths 3.209, 5.838, 6.919 Å; angles 114.96, 103.41, 90.00 degrees
Positions (direct):
Ti 0.000 0.282 0.000
Hf 0.316 0.316 0.632
Ti 0.000 0.718 0.000
Al 0.380 0.880 0.760
Al 0.620 0.120 0.240
Hf 0.684 0.684 0.368

Results
magnetic moment = 0.00 Bohr magnetons per cell
space-group type = No. 71
N(E_F) = 6.61 states/eV per cell



Version S
This record from Alexandria describes a relaxed structure of HfTiAl. The functional is PBE.

Cell lengths 2.840, 4.696, 4.696 Å; angles 120.00, 90.00, 90.00 degrees
Positions (direct):
Ti 0.167 0.333 0.667
Hf 0.166 0.000 0.000
Al 0.666 0.667 0.333

Results
magnetic moment = 0.20 Bohr magnetons per cell
space-group type = No. 187
N(E_F) = 3.39 states/eV per cell



Which one sits at the bottom of the stability order? version P does.



Version P
This record from Alexandria describes a relaxed structure of Hf3Ti2Al2. The functional is PBE.

Cell lengths 4.665, 3.123, 9.695 Å; angles 99.27, 103.92, 90.00 degrees
Positions (direct):
Hf 0.300 0.800 0.599
Hf 0.000 0.000 0.000
Hf 0.700 0.200 0.401
Al 0.857 0.357 0.714
Ti 0.432 0.432 0.864
Ti 0.568 0.568 0.136
Al 0.143 0.643 0.286

Results
magnetic moment = 0.00 Bohr magnetons per cell
space-group type = No. 71
N(E_F) = 7.63 states/eV per cell



Version Q
This record from Alexandria describes a relaxed structure of Hf3Ti2Al2. The functional is PBE.

Cell lengths 2.888, 4.805, 9.820 Å; angles 104.19, 90.00, 90.00 degrees
Positions (direct):
Hf 0.000 0.710 0.420
Al 0.500 0.142 0.284
Al 0.500 0.858 0.716
Ti 0.000 0.570 0.140
Hf 0.000 0.290 0.580
Ti 0.000 0.430 0.860
Hf 0.000 0.000 0.000

Results
magnetic moment = 0.00 Bohr magnetons per cell
space-group type = No. 10
N(E_F) = 7.97 states/eV per cell



Which one sits at the bottom of the stability order? version Q does.



Version P
This record from Alexandria describes a relaxed structure of Hf2Ti2Al. The functional is PBE.

Cell lengths 5.329, 5.329, 4.168 Å; angles 66.92, 66.92, 70.94 degrees
Positions (direct):
Ti 0.282 0.718 0.500
Ti 0.718 0.282 0.500
Hf 0.700 0.700 0.800
Al 0.000 0.000 0.000
Hf 0.300 0.300 0.200

Results
magnetic moment = 0.00 Bohr magnetons per cell
space-group type = No. 71
N(E_F) = 4.38 states/eV per cell



Version Q
This record from Alexandria describes a relaxed structure of Hf2Ti2Al. The functional is PBE.

Cell lengths 7.021, 7.021, 3.908 Å; angles 90.00, 90.00, 90.00 degrees
Positions (direct):
Al 0.500 0.500 0.000
Ti 0.864 0.636 0.000
Hf 0.836 0.336 0.500
Ti 0.136 0.364 0.000
Hf 0.664 0.836 0.500
Ti 0.364 0.864 0.000
Hf 0.164 0.664 0.500
Ti 0.636 0.136 0.000
Hf 0.336 0.164 0.500
Al 0.000 0.000 0.000

Results
magnetic moment = 0.00 Bohr magnetons per cell
space-group type = No. 127
N(E_F) = 8.35 states/eV per cell



Version R
This record from Alexandria describes a relaxed structure of Hf2Ti2Al. The functional is PBE.

Cell lengths 7.298, 7.298, 3.710 Å; angles 90.00, 90.00, 90.00 degrees
Positions (direct):
Ti 0.658 0.842 0.500
Hf 0.359 0.859 0.000
Al 0.500 0.500 0.000
Ti 0.842 0.342 0.500
Ti 0.342 0.158 0.500
Hf 0.641 0.141 0.000
Hf 0.859 0.641 0.000
Al 0.000 0.000 0.000
Ti 0.158 0.658 0.500
Hf 0.141 0.359 0.000

Results
magnetic moment = 0.00 Bohr magnetons per cell
space-group type = No. 127
N(E_F) = 9.02 states/eV per cell



Which one sits at the bottom of the stability order? version R does.



Version P
This record from Alexandria describes a relaxed structure of Hf2AlTl2. The functional is PBE.

Cell lengths 7.252, 7.252, 4.468 Å; angles 90.00, 90.00, 90.00 degrees
Positions (direct):
Tl 0.656 0.844 0.500
Hf 0.154 0.346 0.000
Hf 0.846 0.654 0.000
Al 0.000 0.000 0.000
Tl 0.344 0.156 0.500
Hf 0.346 0.846 0.000
Tl 0.844 0.344 0.500
Al 0.500 0.500 0.000
Hf 0.654 0.154 0.000
Tl 0.156 0.656 0.500

Results
magnetic moment = 0.00 Bohr magnetons per cell
space-group type = No. 127
N(E_F) = 13.22 states/eV per cell



Version Q
This record from Alexandria describes a relaxed structure of Hf2AlTl2. The functional is PBE.

Cell lengths 4.112, 4.112, 7.870 Å; angles 74.85, 74.85, 90.00 degrees
Positions (direct):
Al 0.000 0.000 0.000
Hf 0.409 0.409 0.183
Tl 0.250 0.750 0.500
Hf 0.591 0.591 0.817
Tl 0.750 0.250 0.500

Results
magnetic moment = 0.00 Bohr magnetons per cell
space-group type = No. 139
N(E_F) = 6.22 states/eV per cell



Which one sits at the bottom of the stability order? version Q does.



Version P
This record from Alexandria describes a relaxed structure of Tm2HfAl. The functional is PBE.

Cell lengths 3.361, 3.361, 8.588 Å; angles 90.00, 90.00, 90.00 degrees
Positions (direct):
Al 0.500 0.500 0.000
Tm 0.000 0.000 0.234
Tm 0.000 0.000 0.766
Hf 0.500 0.500 0.500

Results
magnetic moment = 0.00 Bohr magnetons per cell
space-group type = No. 123
N(E_F) = 2.62 states/eV per cell



Version Q
This record from Alexandria describes a relaxed structure of Tm2HfAl. The functional is PBE.

Cell lengths 4.581, 4.529, 4.529 Å; angles 90.00, 90.00, 90.00 degrees
Positions (direct):
Tm 0.000 0.000 0.500
Hf 0.500 0.500 0.500
Al 0.500 0.000 0.000
Tm 0.000 0.500 0.000

Results
magnetic moment = 0.00 Bohr magnetons per cell
space-group type = No. 123
N(E_F) = 3.04 states/eV per cell



Which one sits at the bottom of the stability order? version Q does.



Version P
This record from Alexandria describes a relaxed structure of TmHfAl. The functional is PBE.

Cell lengths 3.253, 3.253, 6.764 Å; angles 103.91, 103.91, 90.00 degrees
Positions (direct):
Al 0.673 0.673 0.347
Hf 0.321 0.321 0.643
Tm 0.005 0.005 0.010

Results
magnetic moment = 0.00 Bohr magnetons per cell
space-group type = No. 107
N(E_F) = 2.30 states/eV per cell



Version Q
This record from Alexandria describes a relaxed structure of TmHfAl. The functional is PBE.

Cell lengths 3.366, 4.863, 4.863 Å; angles 120.00, 90.00, 90.00 degrees
Positions (direct):
Tm 0.973 0.000 0.000
Hf 0.434 0.333 0.667
Al 0.593 0.667 0.333

Results
magnetic moment = 0.00 Bohr magnetons per cell
space-group type = No. 156
N(E_F) = 3.35 states/eV per cell



Which one sits at the bottom of the stability order? version Q does.



Version P
This record from Alexandria describes a relaxed structure of HfUAl. The functional is PBE.

Cell lengths 2.975, 2.975, 7.160 Å; angles 101.99, 101.99, 90.00 degrees
Positions (direct):
U 0.337 0.337 0.674
Hf 0.659 0.659 0.318
Al 0.004 0.004 0.008

Results
magnetic moment = 0.53 Bohr magnetons per cell
space-group type = No. 107
N(E_F) = 3.73 states/eV per cell



Version Q
This record from Alexandria describes a relaxed structure of HfUAl. The functional is PBE.

Cell lengths 4.589, 4.589, 7.653 Å; angles 72.55, 72.55, 60.00 degrees
Positions (direct):
U 0.647 0.647 0.058
Hf 0.210 0.210 0.370
Hf 0.790 0.790 0.630
Al 0.076 0.076 0.772
U 0.353 0.353 0.942
Al 0.924 0.924 0.228

Results
magnetic moment = 2.65 Bohr magnetons per cell
space-group type = No. 166
N(E_F) = 8.82 states/eV per cell



Which one sits at the bottom of the stability order? version Q does.



Version P
This record from Alexandria describes a relaxed structure of HfAl3V. The functional is PBE.

Cell lengths 5.286, 6.213, 6.213 Å; angles 119.98, 90.00, 90.00 degrees
Positions (direct):
Al 0.750 0.609 0.805
V 0.000 0.000 0.000
Al 0.250 0.805 0.195
Al 0.250 0.805 0.609
Al 0.750 0.195 0.805
Hf 0.750 0.667 0.333
V 0.500 0.000 0.000
Hf 0.250 0.333 0.667
Al 0.750 0.195 0.391
Al 0.250 0.391 0.195

Results
magnetic moment = 0.00 Bohr magnetons per cell
space-group type = No. 194
N(E_F) = 6.27 states/eV per cell



Version Q
This record from Alexandria describes a relaxed structure of HfAl3V. The functional is PBE.

Cell lengths 5.097, 5.097, 5.097 Å; angles 90.00, 90.00, 90.00 degrees
Positions (direct):
Hf 0.000 0.000 0.000
Al 0.000 0.000 0.500
Al 0.500 0.000 0.000
V 0.500 0.500 0.500
Al 0.000 0.500 0.000

Results
magnetic moment = 2.55 Bohr magnetons per cell
space-group type = No. 221
N(E_F) = 6.40 states/eV per cell



Which one sits at the bottom of the stability order? version Q does.